First-principles (GGA-PBE) data for a relaxed BeCuPd2 crystal, as listed in the Alexandria database.

Lattice parameters (Å, degrees): 6.195 6.195 6.195 41.76 154.15 147.78
Fractional coordinates of all 4 atoms:
Cu 0.000 0.500 0.500
Be 0.000 0.000 0.000
Pd 0.000 0.823 0.823
Pd 0.000 0.177 0.177

Summary:
space-group type = Immm

---

First-principles (GGA-PBE) data for a relaxed Be2CuPd6 crystal, as listed in the Alexandria database.

Lattice parameters (Å, degrees): 5.380 5.380 7.786 53.65 53.65 43.89
Fractional coordinates of all 9 atoms:
Pd 0.027 0.027 0.155
Pd 0.683 0.683 0.845
Pd 0.653 0.653 0.500
Pd 0.347 0.347 0.500
Pd 0.973 0.973 0.845
Pd 0.317 0.317 0.155
Be 0.660 0.660 0.180
Be 0.340 0.340 0.820
Cu 0.000 0.000 0.500

Summary:
space-group type = C2/m
offset from the most stable computed form = 0.000 eV per atom

---

First-principles (GGA-PBE) data for a relaxed Be8Cu3Pd crystal, as listed in the Alexandria database.

Lattice parameters (Å, degrees): 4.306 4.306 6.937 90.00 90.00 120.00
Fractional coordinates of all 12 atoms:
Be 0.670 0.835 0.249
Be 0.165 0.330 0.249
Be 0.165 0.835 0.249
Be 0.501 0.499 0.751
Be 0.501 0.002 0.751
Be 0.998 0.499 0.751
Be 0.333 0.667 0.002
Be 0.333 0.667 0.501
Cu 0.667 0.333 0.055
Cu 0.667 0.333 0.431
Cu 0.000 0.000 0.950
Pd 0.000 0.000 0.560

Summary:
space-group type = P3m1

---

First-principles (GGA-PBE) data for a relaxed Be2CuPd crystal, as listed in the Alexandria database.

Lattice parameters (Å, degrees): 8.961 5.140 5.140 29.38 29.34 29.34
Fractional coordinates of all 4 atoms:
Be 0.752 0.000 0.000
Be 0.248 0.000 0.000
Pd 0.500 0.000 0.000
Cu 0.000 0.000 0.000

Summary:
space-group type = Immm

---

First-principles (GGA-PBE) data for a relaxed BeCu2Pd4 crystal, as listed in the Alexandria database.

Lattice parameters (Å, degrees): 2.788 4.978 7.592 110.03 100.58 90.00
Fractional coordinates of all 7 atoms:
Cu 0.251 0.220 0.502
Cu 0.749 0.780 0.498
Pd 0.908 0.259 0.815
Pd 0.092 0.741 0.185
Pd 0.391 0.720 0.782
Pd 0.609 0.280 0.218
Be 0.000 0.000 0.000

Summary:
space-group type = C2/m

---

First-principles (GGA-PBE) data for a relaxed Be2CuPd crystal, as listed in the Alexandria database.

Lattice parameters (Å, degrees): 2.746 3.952 3.952 90.00 90.00 90.00
Fractional coordinates of all 4 atoms:
Cu 0.500 0.000 0.000
Be 0.000 0.000 0.500
Be 0.000 0.500 0.000
Pd 0.500 0.500 0.500

Summary:
space-group type = P4/mmm

---

First-principles (GGA-PBE) data for a relaxed Be3CuPd2 crystal, as listed in the Alexandria database.

Lattice parameters (Å, degrees): 2.778 2.778 8.473 90.00 90.00 90.00
Fractional coordinates of all 6 atoms:
Be 0.000 0.000 0.345
Be 0.000 0.000 0.655
Be 0.000 0.000 0.000
Pd 0.500 0.500 0.172
Pd 0.500 0.500 0.828
Cu 0.500 0.500 0.500

Summary:
space-group type = P4/mmm

---

First-principles (GGA-PBE) data for a relaxed Be2CuPd6 crystal, as listed in the Alexandria database.

Lattice parameters (Å, degrees): 4.797 6.639 7.823 90.00 90.12 90.00
Fractional coordinates of all 18 atoms:
Pd 0.186 0.350 0.463
Pd 0.668 0.260 0.627
Pd 0.314 0.850 0.037
Pd 0.814 0.650 0.537
Pd 0.816 0.869 0.217
Pd 0.168 0.240 0.127
Pd 0.684 0.369 0.283
Pd 0.332 0.740 0.373
Pd 0.686 0.150 0.963
Pd 0.832 0.760 0.873
Pd 0.316 0.631 0.717
Pd 0.184 0.131 0.783
Be 0.442 0.075 0.342
Be 0.942 0.425 0.842
Be 0.558 0.925 0.658
Be 0.058 0.575 0.158
Cu 0.000 0.000 0.500
Cu 0.500 0.500 0.000

Summary:
space-group type = P2_1/c
offset from the most stable computed form = 0.138 eV per atom

---

| no. | ρ (kg/m³) | magnetic moment (μB per cell) | formation enthalpy at 0 K (meV per atom) |
| --- | --- | --- | --- |
| 1 | 8595 | 0.000 | 63 |
| 2 | 9949 | 0.000 | -329 |
| 3 | 5503 | 0.000 | -213 |
| 4 | 6201 | 0.000 | 340 |
| 5 | 9610 | 0.000 | -152 |
| 6 | 7278 | 0.000 | -329 |
| 7 | 7705 | 0.000 | -414 |
| 8 | 9598 | 0.000 | -190 |